VASP calculation (PBE) on a relaxed structure of BaTc3.

As for the symmetry: Pm-3n. The calculated volume is 19.3 A^3/atom. The total energy comes out at -6.618 eV per atom. The excess energy over the best structure of this formula in the dataset comes out at 1045 meV per atom. The formation energy comes out at 6.55 eV/f.u.

abc: 5.3640 5.3640 5.3640
angles: 90.00 90.00 90.00
Last column: nearest neighbours and their distance in Å.
Element x y z (fractional)
1 Ba 0.0000 0.0000 0.0000  12 Tc 3.00
2 Ba 0.5000 0.5000 0.5000  12 Tc 3.00
3 Tc 0.0000 0.2500 0.5000  2 Tc 2.68, 4 Ba 3.00
4 Tc 0.0000 0.7500 0.5000  2 Tc 2.68, 4 Ba 3.00
5 Tc 0.2500 0.5000 0.0000  2 Tc 2.68, 4 Ba 3.00
6 Tc 0.5000 0.0000 0.2500  2 Tc 2.68, 4 Ba 3.00
7 Tc 0.5000 0.0000 0.7500  2 Tc 2.68, 4 Ba 3.00
8 Tc 0.7500 0.5000 0.0000  2 Tc 2.68, 4 Ba 3.00